VASP calculation (PBEsol) on an optimized crystal structure of Ti3BPt.

Output
* crystal system: cubic

Geometry as CIF:
```
data_Ti3BPt
_cell_length_a 4.682
_cell_length_b 4.682
_cell_length_c 4.682
_cell_angle_alpha 90.00
_cell_angle_beta 90.00
_cell_angle_gamma 90.00
_symmetry_space_group_name_H-M 'P m -3 m'
_symmetry_Int_Tables_number 221
_symmetry_space_group_name_Hall '-P 4 2 3'
loop_
_atom_site_label
_atom_site_fract_x
_atom_site_fract_y
_atom_site_fract_z
Ti1 0.000 0.000 0.500
B1 0.500 0.500 0.500
Pt1 0.000 0.000 0.000
```

=====

VASP calculation (PBEsol) on an optimized crystal structure of TmBPt2.

Output
* crystal system: hexagonal

Geometry as CIF:
```
data_TmBPt2
_cell_length_a 5.2489
_cell_length_b 5.2489
_cell_length_c 7.8453
_cell_angle_alpha 90.00
_cell_angle_beta 90.00
_cell_angle_gamma 120.00
_symmetry_space_group_name_H-M 'P 62 2 2'
_symmetry_Int_Tables_number 180
_symmetry_space_group_name_Hall 'P 62 2 (0 0 4)'
loop_
_atom_site_label
_atom_site_fract_x
_atom_site_fract_y
_atom_site_fract_z
Tm1 0.0000 0.5000 0.1667
B1 0.0000 0.5000 0.6667
Pt1 0.1507 0.3014 0.5000
```

=====

VASP calculation (PBEsol) on an optimized crystal structure of ZrB2PtW.

Output
* crystal system: tetragonal

Geometry as CIF:
```
data_ZrB2PtW
_cell_length_a 4.173
_cell_length_b 4.173
_cell_length_c 4.809
_cell_angle_alpha 90.00
_cell_angle_beta 90.00
_cell_angle_gamma 90.00
_symmetry_space_group_name_H-M 'P 4/m m m'
_symmetry_Int_Tables_number 123
_symmetry_space_group_name_Hall '-P 4 2'
loop_
_atom_site_label
_atom_site_fract_x
_atom_site_fract_y
_atom_site_fract_z
Zr1 0.000 0.000 0.000
B1 0.000 0.500 0.000
Pt1 0.000 0.000 0.500
W1 0.500 0.500 0.500
```

=====

VASP calculation (PBEsol) on an optimized crystal structure of YBPt2.

Output
* crystal system: cubic

Geometry as CIF:
```
data_YBPt2
_cell_length_a 6.327
_cell_length_b 6.327
_cell_length_c 6.327
_cell_angle_alpha 90.00
_cell_angle_beta 90.00
_cell_angle_gamma 90.00
_symmetry_space_group_name_H-M 'F m -3 m'
_symmetry_Int_Tables_number 225
_symmetry_space_group_name_Hall '-F 4 2 3'
loop_
_atom_site_label
_atom_site_fract_x
_atom_site_fract_y
_atom_site_fract_z
Y1 0.000 0.000 0.000
B1 0.000 0.000 0.500
Pt1 0.250 0.250 0.250
```

=====

VASP calculation (PBEsol) on an optimized crystal structure of YBPt2.

Output
* crystal system: hexagonal

Geometry as CIF:
```
data_YBPt2
_cell_length_a 5.2954
_cell_length_b 5.2954
_cell_length_c 7.8697
_cell_angle_alpha 90.00
_cell_angle_beta 90.00
_cell_angle_gamma 120.00
_symmetry_space_group_name_H-M 'P 62 2 2'
_symmetry_Int_Tables_number 180
_symmetry_space_group_name_Hall 'P 62 2 (0 0 4)'
loop_
_atom_site_label
_atom_site_fract_x
_atom_site_fract_y
_atom_site_fract_z
Y1 0.0000 0.5000 0.1667
B1 0.0000 0.5000 0.6667
Pt1 0.1508 0.3017 0.5000
```

=====

VASP calculation (PBEsol) on an optimized crystal structure of ZrB2Pt.

Output
* crystal system: tetragonal

Geometry as CIF:
```
data_ZrB2Pt
_cell_length_a 3.918
_cell_length_b 3.918
_cell_length_c 14.432
_cell_angle_alpha 90.00
_cell_angle_beta 90.00
_cell_angle_gamma 90.00
_symmetry_space_group_name_H-M 'I 41/a m d'
_symmetry_Int_Tables_number 141
loop_
_symmetry_equiv_pos_as_xyz
'x,y,z'
'-x,-y,-z'
'-y+1/4,x+3/4,z+1/4'
'y+1/4,-x+3/4,-z+1/4'
'-x+1/2,-y,z+1/2'
'x+1/2,y,-z+1/2'
'y+1/4,-x+1/4,z+3/4'
'-y+1/4,x+1/4,-z+3/4'
'x,-y,-z'
'-x,y,z'
'-y+1/4,-x+1/4,-z+3/4'
'y+1/4,x+1/4,z+3/4'
'-x+1/2,y,-z+1/2'
'x+1/2,-y,z+1/2'
'y+1/4,x+3/4,-z+1/4'
'-y+1/4,-x+3/4,z+1/4'
'x+1/2,y+1/2,z+1/2'
'-x+1/2,-y+1/2,-z+1/2'
'-y+3/4,x+1/4,z+3/4'
'y+3/4,-x+1/4,-z+3/4'
'-x,-y+1/2,z'
'x,y+1/2,-z'
'y+3/4,-x+3/4,z+1/4'
'-y+3/4,x+3/4,-z+1/4'
'x+1/2,-y+1/2,-z+1/2'
'-x+1/2,y+1/2,z+1/2'
'-y+3/4,-x+3/4,-z+1/4'
'y+3/4,x+3/4,z+1/4'
'-x,y+1/2,-z'
'x,-y+1/2,z'
'y+3/4,x+1/4,-z+3/4'
'-y+3/4,-x+1/4,z+3/4'
loop_
_atom_site_label
_atom_site_fract_x
_atom_site_fract_y
_atom_site_fract_z
Zr1 0.000 0.250 0.375
B1 0.000 0.000 0.000
Pt1 0.000 0.250 0.875
```

=====

| no. | ΔH_f (0 K) (meV/atom) |
| --- | --- |
| 1 | 1134 |
| 2 | -1028 |
| 3 | 2050 |
| 4 | 41 |
| 5 | -1020 |
| 6 | -175 |